(1)
Entry from Alexandria via LeMat-Bulk: a geometry-optimized ScGa2 structure (PBE).

Cell and atoms, written as POSCAR:
```
ScGa2
1.0
2.0631 -6.3173 0.0000
2.0631 6.3173 0.0000
0.0000 0.0000 4.1533
Sc Ga
2 4
Cartesian
2.0631 4.3878 0.0000
2.0631 -4.3878 0.0000
0.0000 0.0000 2.0766
2.0631 2.2309 2.0766
2.0631 0.0000 0.0000
2.0631 -2.2309 2.0766
```

Output
Its space group is No. 65. As for the formation energy: -0.55 eV per atom.



(2)
Entry from Alexandria via LeMat-Bulk: a geometry-optimized FeAgTePd structure (PBE).

Cell and atoms, written as POSCAR:
```
FeAgTePd
1.0
4.5166 0.0000 0.0000
0.0000 3.0357 0.0000
-2.1994 0.0000 5.9896
Fe Ag Te Pd
1 1 1 1
Cartesian
0.0000 0.0000 0.0000
2.2664 0.0000 1.6178
0.0569 0.0000 4.4910
0.0083 1.5179 2.1771
```

Output
Its raw formation energy is 0.202 eV/atom. Its space group is No. 6.



Asked for size of the total moment across the records above, the calculation gives 0.000 3.392 μB per formula unit in order.
Asked for VASP energy across the records above, the calculation gives -4.680 -4.710 eV per atom in order.